*A*
DFT (SCAN) results for a crystal of BaFe2Br relaxed with PBEsol.

abc: 3.697 3.697 6.667
angles: 90.00 90.00 90.00
Each line ends with the local moment (μB).
Element x y z (fractional)
1 Ba 0.500 0.500 0.000  0.00
2 Br 0.500 0.500 0.500  0.15
3 Fe 0.000 0.000 0.665  3.17
4 Fe 0.000 0.000 0.335  3.17

Calculated values
* Fermi-level density of states: 3.42 states/eV per cell
* SG: No. 123
* M_tot: 1.705 μB per atom

*B*
DFT (SCAN) results for a crystal of BaFe2Br relaxed with PBEsol.

abc: 4.872 4.872 4.872
angles: 60.00 60.00 60.00
Each line ends with the local moment (μB).
Element x y z (fractional)
1 Ba 0.000 0.000 0.000  -0.21
2 Br 0.500 0.500 0.500  0.09
3 Fe 0.250 0.250 0.250  3.16
4 Fe 0.750 0.750 0.750  3.16

Calculated values
* Fermi-level density of states: 4.00 states/eV per cell
* SG: No. 225
* M_tot: 1.479 μB per atom

*C*
DFT (SCAN) results for a crystal of BaFe2Br relaxed with PBEsol.

abc: 3.459 4.869 5.621
angles: 90.00 90.00 90.00
Each line ends with the local moment (μB).
Element x y z (fractional)
1 Ba 0.500 0.000 0.500  -0.08
2 Br 0.000 0.500 0.500  0.06
3 Fe 0.000 0.000 0.000  3.08
4 Fe 0.500 0.500 0.000  3.26

Calculated values
* Fermi-level density of states: 3.38 states/eV per cell
* SG: No. 47
* M_tot: 1.590 μB per atom

The structure with the most favorable energy is *C*; the runner-up is 241 meV per atom above it.

*A*
DFT (SCAN) results for a crystal of BaHgBr2 relaxed with PBEsol.

abc: 4.779 4.779 6.258
angles: 112.45 112.45 90.00
Element x y z (fractional)
1 Hg 0.500 0.500 0.000
2 Br 0.000 0.000 0.000
3 Br 0.750 0.250 0.500
4 Ba 0.250 0.750 0.500

Calculated values
* Fermi-level density of states: 0.00 states/eV per cell
* SG: No. 119
* M_tot: 0.000 μB per atom

*B*
DFT (SCAN) results for a crystal of BaHgBr2 relaxed with PBEsol.

abc: 4.973 4.973 8.216
angles: 72.38 72.38 60.00
Element x y z (fractional)
1 Hg 0.000 0.000 0.000
2 Br 0.771 0.771 0.688
3 Br 0.229 0.229 0.312
4 Ba 0.500 0.500 0.500

Calculated values
* Fermi-level density of states: 0.00 states/eV per cell
* SG: No. 166
* M_tot: 0.000 μB per atom

The structure with the most favorable energy is *B*; the runner-up is 76 meV per atom above it.

*A*
DFT (SCAN) results for a crystal of BaHgBr2 relaxed with PBEsol.

abc: 5.573 5.573 5.573
angles: 60.00 60.00 60.00
Element x y z (fractional)
1 Hg 0.000 0.000 0.000
2 Br 0.250 0.250 0.250
3 Br 0.750 0.750 0.750
4 Ba 0.500 0.500 0.500

Calculated values
* Fermi-level density of states: 0.00 states/eV per cell
* SG: No. 225
* M_tot: 0.000 μB per atom

*B*
DFT (SCAN) results for a crystal of BaHgBr2 relaxed with PBEsol.

abc: 7.400 7.400 7.400
angles: 105.20 105.20 118.39
Element x y z (fractional)
1 Hg 0.000 0.000 0.000
2 Hg 0.250 0.750 0.500
3 Br 0.840 0.875 0.465
4 Br 0.410 0.375 0.535
5 Br 0.125 0.590 0.965
6 Br 0.625 0.160 0.035
7 Ba 0.500 0.500 0.000
8 Ba 0.750 0.250 0.500

Calculated values
* Fermi-level density of states: 0.00 states/eV per cell
* SG: No. 122
* M_tot: 0.000 μB per atom

The structure with the most favorable energy is *A*; the runner-up is 154 meV per atom above it.

*A*
DFT (SCAN) results for a crystal of BaIBr relaxed with PBEsol.

abc: 5.082 5.082 8.642
angles: 90.00 90.00 90.00
Element x y z (fractional)
1 I 0.000 0.500 0.638
2 I 0.500 0.000 0.362
3 Ba 0.500 0.000 0.769
4 Ba 0.000 0.500 0.231
5 Br 0.000 0.000 0.000
6 Br 0.500 0.500 0.000

Calculated values
* Fermi-level density of states: 0.00 states/eV per cell
* SG: No. 129
* M_tot: 0.000 μB per atom

*B*
DFT (SCAN) results for a crystal of BaIBr relaxed with PBEsol.

abc: 5.027 8.640 9.995
angles: 90.00 90.00 90.00
Element x y z (fractional)
1 Ba 0.750 0.270 0.625
2 Ba 0.250 0.730 0.375
3 Ba 0.250 0.230 0.125
4 Ba 0.750 0.770 0.875
5 I 0.750 0.528 0.169
6 I 0.250 0.472 0.831
7 I 0.250 0.972 0.669
8 I 0.750 0.028 0.331
9 Br 0.750 0.144 0.934
10 Br 0.250 0.856 0.066
11 Br 0.250 0.356 0.434
12 Br 0.750 0.644 0.566

Calculated values
* Fermi-level density of states: 0.00 states/eV per cell
* SG: No. 62
* M_tot: 0.000 μB per atom

The structure with the most favorable energy is *B*; the runner-up is 31 meV per atom above it.

*A*
DFT (SCAN) results for a crystal of Ba10IBr4N5 relaxed with PBEsol.

abc: 4.122 4.122 39.743
angles: 87.03 87.03 60.00
Element x y z (fractional)
1 I 0.000 0.000 0.000
2 Ba 0.245 0.245 0.265
3 Ba 0.644 0.644 0.068
4 Ba 0.047 0.047 0.858
5 Ba 0.446 0.446 0.661
6 Ba 0.846 0.846 0.463
7 Ba 0.554 0.554 0.339
8 Ba 0.953 0.953 0.142
9 Ba 0.356 0.356 0.932
10 Ba 0.755 0.755 0.735
11 Ba 0.154 0.154 0.537
12 Br 0.401 0.401 0.796
13 Br 0.800 0.800 0.599
14 Br 0.200 0.200 0.401
15 Br 0.599 0.599 0.204
16 N 0.899 0.899 0.302
17 N 0.298 0.298 0.105
18 N 0.702 0.702 0.895
19 N 0.101 0.101 0.698
20 N 0.500 0.500 0.500

Calculated values
* SG: No. 166
* M_tot: 0.000 μB per atom

*B*
DFT (SCAN) results for a crystal of Ba10IBr4N5 relaxed with PBEsol.

abc: 7.139 8.290 10.909
angles: 73.64 70.90 81.77
Element x y z (fractional)
1 Ba 0.250 0.318 0.732
2 Ba 0.639 0.317 0.936
3 Ba 0.446 0.311 0.338
4 Ba 0.847 0.313 0.539
5 Ba 0.046 0.320 0.139
6 Ba 0.554 0.689 0.662
7 Ba 0.954 0.680 0.861
8 Ba 0.750 0.682 0.268
9 Ba 0.153 0.687 0.461
10 Ba 0.361 0.683 0.064
11 I 0.000 0.000 0.000
12 Br 0.400 0.000 0.201
13 Br 0.800 0.000 0.400
14 Br 0.200 0.000 0.600
15 Br 0.600 0.000 0.799
16 N 0.898 0.500 0.698
17 N 0.301 0.503 0.898
18 N 0.102 0.500 0.302
19 N 0.500 0.500 0.500
20 N 0.699 0.497 0.102

Calculated values
* SG: No. 2
* M_tot: 0.000 μB per atom

The structure with the most favorable energy is *A*; the runner-up is 6 meV per atom above it.

*A*
DFT (SCAN) results for a crystal of Ba2InBr relaxed with PBEsol.

abc: 3.907 3.907 9.144
angles: 90.00 90.00 90.00
Element x y z (fractional)
1 Ba 0.000 0.000 0.748
2 Ba 0.000 0.000 0.252
3 Br 0.500 0.500 0.000
4 In 0.500 0.500 0.500

Calculated values
* Fermi-level density of states: 1.82 states/eV per cell
* SG: No. 123
* M_tot: 0.000 μB per atom

*B*
DFT (SCAN) results for a crystal of Ba2InBr relaxed with PBEsol.

abc: 4.575 4.575 9.230
angles: 75.65 75.65 60.00
Element x y z (fractional)
1 Ba 0.748 0.748 0.757
2 Ba 0.252 0.252 0.243
3 Br 0.000 0.000 0.000
4 In 0.500 0.500 0.500

Calculated values
* Fermi-level density of states: 2.82 states/eV per cell
* SG: No. 166
* M_tot: 0.000 μB per atom

The structure with the most favorable energy is *A*; the runner-up is 29 meV per atom above it.

*A*
DFT (SCAN) results for a crystal of KBaBr2 relaxed with PBEsol.

abc: 3.943 3.943 8.032
angles: 90.00 90.00 90.00
Element x y z (fractional)
1 Ba 0.500 0.500 0.500
2 Br 0.000 0.000 0.745
3 Br 0.000 0.000 0.255
4 K 0.500 0.500 0.000

Calculated values
* Fermi-level density of states: 1.61 states/eV per cell
* SG: No. 123
* M_tot: 0.000 μB per atom

*B*
DFT (SCAN) results for a crystal of KBaBr2 relaxed with PBEsol.

abc: 4.756 4.756 10.002
angles: 76.25 76.25 60.00
Each line ends with the local moment (μB).
Element x y z (fractional)
1 K 0.500 0.500 0.500  0.00
2 Ba 0.000 0.000 0.000  0.11
3 Br 0.894 0.894 0.317  0.00
4 Br 0.106 0.106 0.683  0.00

Calculated values
* Fermi-level density of states: 0.88 states/eV per cell
* SG: No. 166
* M_tot: 0.140 μB per atom

*C*
DFT (SCAN) results for a crystal of KBaBr2 relaxed with PBEsol.

abc: 4.336 4.336 8.904
angles: 75.91 75.91 60.00
Each line ends with the local moment (μB).
Element x y z (fractional)
1 K 0.000 0.000 0.000  0.00
2 Ba 0.500 0.500 0.500  -0.21
3 Br 0.746 0.746 0.762  -0.01
4 Br 0.254 0.254 0.238  -0.01

Calculated values
* Fermi-level density of states: 1.20 states/eV per cell
* SG: No. 166
* M_tot: 0.179 μB per atom

The structure with the most favorable energy is *C*; the runner-up is 93 meV per atom above it.

*A*
DFT (SCAN) results for a crystal of BaLa2Br relaxed with PBEsol.

abc: 3.721 3.721 11.459
angles: 90.00 90.00 116.17
Element x y z (fractional)
1 Ba 0.500 0.500 0.500
2 Br 0.500 0.500 0.000
3 La 0.000 0.000 0.211
4 La 0.000 0.000 0.789

Calculated values
* Fermi-level density of states: 4.27 states/eV per cell
* SG: No. 65
* M_tot: 0.000 μB per atom

*B*
DFT (SCAN) results for a crystal of BaLa2Br relaxed with PBEsol.

abc: 3.835 3.835 11.214
angles: 80.15 80.15 60.00
Element x y z (fractional)
1 Ba 0.500 0.500 0.500
2 Br 0.000 0.000 0.000
3 La 0.264 0.264 0.207
4 La 0.736 0.736 0.793

Calculated values
* Fermi-level density of states: 4.16 states/eV per cell
* SG: No. 166
* M_tot: 0.000 μB per atom

The structure with the most favorable energy is *B*; the runner-up is 76 meV per atom above it.

*A*
DFT (SCAN) results for a crystal of BaLa2Br relaxed with PBEsol.

abc: 3.644 5.184 7.697
angles: 109.68 103.69 90.00
Element x y z (fractional)
1 Ba 0.549 0.549 0.097
2 Br 0.255 0.755 0.510
3 La 0.944 0.944 0.887
4 La 0.753 0.253 0.506

Calculated values
* Fermi-level density of states: 4.79 states/eV per cell
* SG: No. 44
* M_tot: 0.000 μB per atom

*B*
DFT (SCAN) results for a crystal of BaLa2Br relaxed with PBEsol.

abc: 3.893 5.510 6.422
angles: 90.00 90.00 92.99
Element x y z (fractional)
1 Ba 0.000 0.500 0.500
2 Br 0.500 0.000 0.500
3 La 0.331 0.254 0.000
4 La 0.669 0.746 0.000

Calculated values
* Fermi-level density of states: 3.85 states/eV per cell
* SG: No. 10
* M_tot: 0.000 μB per atom

*C*
DFT (SCAN) results for a crystal of BaLa2Br relaxed with PBEsol.

abc: 3.647 5.806 6.321
angles: 90.00 90.00 90.00
Element x y z (fractional)
1 Ba 0.500 0.000 0.500
2 Br 0.000 0.500 0.500
3 La 0.000 0.000 0.000
4 La 0.500 0.500 0.000

Calculated values
* Fermi-level density of states: 4.26 states/eV per cell
* SG: No. 47
* M_tot: 0.000 μB per atom

The structure with the most favorable energy is *B*; the runner-up is 75 meV per atom above it.

*A*
DFT (SCAN) results for a crystal of BaLiBr2 relaxed with PBEsol.

abc: 5.503 5.503 5.503
angles: 60.00 60.00 60.00
Each line ends with the local moment (μB).
Element x y z (fractional)
1 Ba 0.000 0.000 0.000  0.14
2 Br 0.250 0.250 0.250  0.04
3 Br 0.750 0.750 0.750  0.04
4 Li 0.500 0.500 0.500  0.04

Calculated values
* Fermi-level density of states: 1.15 states/eV per cell
* SG: No. 225
* M_tot: 0.243 μB per atom

*B*
DFT (SCAN) results for a crystal of BaLiBr2 relaxed with PBEsol.

abc: 4.034 5.198 5.198
angles: 90.00 90.00 90.00
Element x y z (fractional)
1 Ba 0.500 0.000 0.000
2 Br 0.000 0.000 0.500
3 Br 0.000 0.500 0.000
4 Li 0.500 0.500 0.500

Calculated values
* Fermi-level density of states: 1.15 states/eV per cell
* SG: No. 123
* M_tot: 0.000 μB per atom

The structure with the most favorable energy is *B*; the runner-up is 47 meV per atom above it.

*A*
DFT (SCAN) results for a crystal of BaMgBr2 relaxed with PBEsol.

abc: 7.393 7.393 7.393
angles: 105.92 105.92 116.83
Element x y z (fractional)
1 Mg 0.500 0.500 0.000
2 Mg 0.750 0.250 0.500
3 Ba 0.000 0.000 0.000
4 Ba 0.250 0.750 0.500
5 Br 0.625 0.650 0.525
6 Br 0.125 0.100 0.475
7 Br 0.900 0.375 0.025
8 Br 0.350 0.875 0.975

Calculated values
* SG: No. 122
* M_tot: 0.000 μB per atom

*B*
DFT (SCAN) results for a crystal of BaMgBr2 relaxed with PBEsol.

abc: 5.638 5.638 5.638
angles: 60.00 60.00 60.00
Element x y z (fractional)
1 Ba 0.500 0.500 0.500
2 Br 0.000 0.000 0.000
3 Br 0.750 0.750 0.750
4 Mg 0.250 0.250 0.250

Calculated values
* SG: No. 216
* M_tot: 0.000 μB per atom

The structure with the most favorable energy is *A*; the runner-up is 181 meV per atom above it.

*A*
DFT (SCAN) results for a crystal of BaMn2Br relaxed with PBEsol.

abc: 3.688 3.688 7.531
angles: 90.00 90.00 90.00
Each line ends with the local moment (μB).
Element x y z (fractional)
1 Ba 0.500 0.500 0.000  -0.07
2 Br 0.500 0.500 0.500  0.10
3 Mn 0.000 0.000 0.681  4.25
4 Mn 0.000 0.000 0.319  4.25

Calculated values
* Fermi-level density of states: 2.56 states/eV per cell
* SG: No. 123
* M_tot: 2.252 μB per atom

*B*
DFT (SCAN) results for a crystal of BaMn2Br relaxed with PBEsol.

abc: 3.453 5.235 6.416
angles: 114.08 105.61 90.00
Each line ends with the local moment (μB).
Element x y z (fractional)
1 Ba 0.500 0.000 0.000  -0.15
2 Br 0.000 0.500 0.000  0.05
3 Mn 0.732 0.732 0.464  4.34
4 Mn 0.268 0.268 0.536  4.34

Calculated values
* Fermi-level density of states: 2.66 states/eV per cell
* SG: No. 71
* M_tot: 2.221 μB per atom

The structure with the most favorable energy is *B*; the runner-up is 269 meV per atom above it.